(1)
Compound: Ta2CdO6
Source: Alexandria via LeMat-Bulk
Functional: PBEsol
Structure: relaxed

Properties
The density comes out at 8.46 g/cm3.

Cell lengths 14.8236, 5.8790, 5.1368 Å; angles 90.00, 90.00, 90.00 degrees
Space group Pbcn (No. 60)
Asymmetric unit:
Ta  0.1657  0.1745  0.2323 x8
Cd  0.0000  0.3146  0.7500 x4
O  0.0861  0.3806  0.1047 x8
O  0.1042  0.0918  0.5516 x8
O  0.2442  0.1308  0.9066 x8

---

(2)
Compound: Ta2CdO
Source: Alexandria via LeMat-Bulk
Functional: PBEsol
Structure: relaxed

Properties
The density comes out at 13.31 g/cm3.

Cell lengths 6.2553, 6.2553, 6.2553 Å; angles 90.00, 90.00, 90.00 degrees
Space group Fm-3m (No. 225)
Asymmetric unit:
Ta  0.2500  0.2500  0.2500 x8
Cd  0.0000  0.0000  0.0000 x4
O  0.0000  0.0000  0.5000 x4

---

(3)
Compound: Cd2Tc2O7
Source: Alexandria via LeMat-Bulk
Functional: PBEsol
Structure: relaxed

Properties
The density comes out at 6.76 g/cm3.

Cell lengths 10.1563, 10.1563, 10.1563 Å; angles 90.00, 90.00, 90.00 degrees
Space group Fd-3m (No. 227, origin choice 2)
Asymmetric unit:
Cd  0.0000  0.0000  0.0000 x16
Tc  0.0000  0.0000  0.5000 x16
O  0.0653  0.3750  0.8750 x48
O  0.1250  0.1250  0.1250 x8

---

(4)
Compound: CdTcTe2O
Source: Alexandria via LeMat-Bulk
Functional: PBEsol
Structure: relaxed

Properties
The density comes out at 5.18 g/cm3.

Cell lengths 5.3998, 5.3998, 5.2907 Å; angles 90.00, 90.00, 90.00 degrees
Space group P4/mmm (No. 123)
Asymmetric unit:
Cd  0.0000  0.0000  0.0000 x1
Tc  0.0000  0.0000  0.5000 x1
Te  0.0000  0.5000  0.0000 x2
O  0.5000  0.5000  0.5000 x1

---

(5)
Compound: Cd2Te2O7
Source: Alexandria via LeMat-Bulk
Functional: PBEsol
Structure: relaxed

Properties
The density comes out at 6.69 g/cm3.

Cell lengths 7.4506, 8.3621, 9.8668 Å; angles 85.79, 78.77, 77.16 degrees
Space group P-1 (No. 2)
Asymmetric unit:
Cd  0.0000  0.0000  0.0000 x1
Cd  0.1901  0.3478  0.8913 x2
Cd  0.2585  0.4892  0.4910 x2
Cd  0.3071  0.6250  0.1131 x2
Cd  0.5000  0.0000  0.0000 x1
Te  0.0415  0.1676  0.6394 x2
Te  0.1211  0.2610  0.2398 x2
Te  0.3753  0.7296  0.7685 x2
Te  0.4461  0.8838  0.3562 x2
O  0.0046  0.8154  0.1633 x2
O  0.0429  0.3445  0.4235 x2
O  0.0581  0.4614  0.1399 x2
O  0.1136  0.8151  0.7456 x2
O  0.2062  0.1507  0.0684 x2
O  0.2074  0.6930  0.3421 x2
O  0.2115  0.0437  0.3354 x2
O  0.2407  0.2849  0.6426 x2
O  0.3166  0.8497  0.9334 x2
O  0.3573  0.3319  0.2284 x2
O  0.3656  0.5348  0.8880 x2
O  0.4121  0.9419  0.6565 x2
O  0.4282  0.6187  0.6007 x2
O  0.4938  0.1870  0.8266 x2

---

(6)
Compound: Zn3Cd3Te2O12
Source: Alexandria via LeMat-Bulk
Functional: PBEsol
Structure: relaxed

Properties
The density comes out at 6.60 g/cm3.

Cell lengths 12.5419, 12.5419, 12.5419 Å; angles 90.00, 90.00, 90.00 degrees
Space group Ia-3d (No. 230)
Asymmetric unit:
Zn  0.0000  0.2500  0.3750 x24
Cd  0.0000  0.2500  0.1250 x24
Te  0.0000  0.0000  0.0000 x16
O  0.0255  0.0501  0.6449 x96

---

no.,DFT total energy (Ry per atom)
1,-0.654
2,-0.541
3,-0.509
4,-0.233
5,-0.389
6,-0.379